# LiMnAl4 (PBE, optimized geometry)
# E above lowest polymorph	0.000	eV/atom
data_LiMnAl4
_chemical_formula_sum 'Li1 Mn1 Al4'
_cell_length_a 4.886
_cell_length_b 4.886
_cell_length_c 7.382
_cell_angle_alpha 113.38
_cell_angle_beta 113.38
_cell_angle_gamma 33.54
_space_group_name_H-M_alt 'P 1'
_space_group_IT_number 1
_space_group_name_Hall 'P 1'
loop_
_atom_site_label
_atom_site_type_symbol
_atom_site_fract_x
_atom_site_fract_y
_atom_site_fract_z
Li1 Li 0.000 0.000 0.000
Mn1 Mn 0.000 0.000 0.500
Al1 Al 0.323 0.323 0.185
Al2 Al 0.350 0.350 0.655
Al3 Al 0.650 0.650 0.345
Al4 Al 0.677 0.677 0.815

# LiMn2Al2 (PBE, optimized geometry)
# E above lowest polymorph	0.019	eV/atom
data_LiMn2Al2
_chemical_formula_sum 'Li2 Mn4 Al4'
_cell_length_a 7.296
_cell_length_b 7.296
_cell_length_c 2.641
_cell_angle_alpha 90.00
_cell_angle_beta 90.00
_cell_angle_gamma 90.00
_space_group_name_H-M_alt 'P 1'
_space_group_IT_number 1
_space_group_name_Hall 'P 1'
loop_
_atom_site_label
_atom_site_type_symbol
_atom_site_fract_x
_atom_site_fract_y
_atom_site_fract_z
Li1 Li 0.000 0.000 0.000
Li2 Li 0.500 0.500 0.000
Mn1 Mn 0.100 0.400 0.000
Mn2 Mn 0.400 0.900 0.000
Mn3 Mn 0.600 0.100 0.000
Mn4 Mn 0.900 0.600 0.000
Al1 Al 0.189 0.689 0.500
Al2 Al 0.311 0.189 0.500
Al3 Al 0.689 0.811 0.500
Al4 Al 0.811 0.311 0.500

# Li2MnAl (PBE, optimized geometry)
# DFT total energy	-0.141	hartree per atom
data_Li2MnAl
_chemical_formula_sum 'Li4 Mn2 Al2'
_cell_length_a 5.670
_cell_length_b 5.670
_cell_length_c 5.670
_cell_angle_alpha 102.02
_cell_angle_beta 102.02
_cell_angle_gamma 125.69
_space_group_name_H-M_alt 'P 1'
_space_group_IT_number 1
_space_group_name_Hall 'P 1'
loop_
_atom_site_label
_atom_site_type_symbol
_atom_site_fract_x
_atom_site_fract_y
_atom_site_fract_z
Li1 Li 0.122 0.625 0.997
Li2 Li 0.375 0.372 0.497
Li3 Li 0.628 0.125 0.003
Li4 Li 0.875 0.878 0.503
Mn1 Mn 0.000 0.000 0.000
Mn2 Mn 0.750 0.250 0.500
Al1 Al 0.250 0.750 0.500
Al2 Al 0.500 0.500 0.000